This record from Alexandria via LeMat-Bulk describes YMnCoSi2 after structural relaxation. The functional is PBE.

Results
Raw formation energy (eV per formula unit): -3.45
Energy (eV per atom): -7.41
Crystal system: tetragonal

Cell: 3.9131 3.9131 9.9853 Å, 90.00 90.00 90.00°
Space group I-4m2 (No. 119)
Inequivalent atoms, fractional coordinates:
Y 0.0000 0.0000 0.0000 x2
Mn 0.0000 0.5000 0.7500 x2
Co 0.0000 0.5000 0.2500 x2
Si 0.0000 0.0000 0.3755 x4